Density functional theory data (PBE) for an optimized crystal structure of Hf4NiAs.

volume	18.65	A^3/atom
magnetization	0.0	μB per formula unit
DFT total energy	-8.957	eV/atom

a b c (Å): 5.2964 5.2964 5.2964
angles (deg): 104.89 104.89 119.09
Closest atoms and distances in Å follow each position.
Atoms (fractional coordinates):
1 Hf 0.5905 0.0905 0.1811  2 As 2.77, 2 Ni 2.77, 1 Hf 2.91
2 Hf 0.9095 0.4095 0.8189  2 Ni 2.77, 2 As 2.77, 1 Hf 2.91
3 Hf 0.4095 0.5905 0.5000  2 Ni 2.77, 2 As 2.77, 1 Hf 2.91
4 Hf 0.0905 0.9095 0.5000  2 As 2.77, 2 Ni 2.77, 1 Hf 2.91
5 As 0.5000 0.5000 0.0000  2 Ni 2.68, 8 Hf 2.77
6 Ni 0.0000 0.0000 0.0000  2 As 2.68, 8 Hf 2.77